(1)
# HfScReIr

A relaxed structure of HfScReIr (PBE-GGA, the Alexandria database).

* symmetry: F-43m, No. 216
* E_form: -0.609 eV/atom

```
data_HfScReIr
_space_group_name_H-M_alt 'P 1'
_space_group_IT_number 1
_space_group_name_Hall 'P 1'
_cell_length_a 4.592
_cell_length_b 4.592
_cell_length_c 4.592
_cell_angle_alpha 60.00
_cell_angle_beta 60.00
_cell_angle_gamma 60.00
loop_
_atom_site_label
_atom_site_type_symbol
_atom_site_fract_x
_atom_site_fract_y
_atom_site_fract_z
_atom_site_occupancy
Hf1 Hf 0.750 0.750 0.750 1
Sc1 Sc 0.250 0.250 0.250 1
Ir1 Ir 0.000 0.000 0.000 1
Re1 Re 0.500 0.500 0.500 1
```



(2)
# LaPmY2Sc

A relaxed structure of LaPmY2Sc (PBE-GGA, the Alexandria database).

* symmetry: P2_1/m, No. 11
* E_form: 0.056 eV/atom

```
data_LaPmY2Sc
_space_group_name_H-M_alt 'P 1'
_space_group_IT_number 1
_space_group_name_Hall 'P 1'
_cell_length_a 5.078
_cell_length_b 7.896
_cell_length_c 7.984
_cell_angle_alpha 89.53
_cell_angle_beta 90.00
_cell_angle_gamma 90.00
loop_
_atom_site_label
_atom_site_type_symbol
_atom_site_fract_x
_atom_site_fract_y
_atom_site_fract_z
_atom_site_occupancy
Y1 Y 0.250 0.352 0.046 1
Sc1 Sc 0.250 0.549 0.651 1
Pm1 Pm 0.750 0.055 0.152 1
Sc2 Sc 0.750 0.451 0.349 1
La1 La 0.750 0.258 0.739 1
Y2 Y 0.250 0.162 0.447 1
Pm2 Pm 0.250 0.945 0.848 1
Y3 Y 0.750 0.648 0.954 1
Y4 Y 0.750 0.838 0.553 1
La2 La 0.250 0.742 0.261 1
```



(3)
# RbGa2HgRh

A relaxed structure of RbGa2HgRh (PBE-GGA, the Alexandria database).

* symmetry: P4/mmm, No. 123
* E_form: -0.291 eV/atom

```
data_RbGa2HgRh
_space_group_name_H-M_alt 'P 1'
_space_group_IT_number 1
_space_group_name_Hall 'P 1'
_cell_length_a 4.872
_cell_length_b 4.872
_cell_length_c 5.435
_cell_angle_alpha 90.00
_cell_angle_beta 90.00
_cell_angle_gamma 90.00
loop_
_atom_site_label
_atom_site_type_symbol
_atom_site_fract_x
_atom_site_fract_y
_atom_site_fract_z
_atom_site_occupancy
Ga1 Ga 0.500 0.000 0.000 1
Hg1 Hg 0.000 0.000 0.500 1
Rh1 Rh 0.000 0.000 0.000 1
Rb1 Rb 0.500 0.500 0.500 1
Ga2 Ga 0.000 0.500 0.000 1
```



(4)
# UInFe

A relaxed structure of UInFe (PBE-GGA, the Alexandria database).

* symmetry: P-1, No. 2
* E_form: 0.061 eV/atom

```
data_UInFe
_space_group_name_H-M_alt 'P 1'
_space_group_IT_number 1
_space_group_name_Hall 'P 1'
_cell_length_a 2.920
_cell_length_b 5.965
_cell_length_c 6.916
_cell_angle_alpha 105.20
_cell_angle_beta 94.38
_cell_angle_gamma 74.88
loop_
_atom_site_label
_atom_site_type_symbol
_atom_site_fract_x
_atom_site_fract_y
_atom_site_fract_z
_atom_site_occupancy
In1 In 0.524 0.705 0.899 1
U1 U 0.888 0.721 0.476 1
Fe1 Fe 0.987 0.889 0.244 1
U2 U 0.112 0.279 0.524 1
In2 In 0.476 0.295 0.101 1
Fe2 Fe 0.013 0.111 0.756 1
```



(5)
# Pm2Ga2Ag3

A relaxed structure of Pm2Ga2Ag3 (PBE-GGA, the Alexandria database).

* symmetry: Cmcm, No. 63
* E_form: -0.319 eV/atom

```
data_Pm2Ga2Ag3
_space_group_name_H-M_alt 'P 1'
_space_group_IT_number 1
_space_group_name_Hall 'P 1'
_cell_length_a 4.384
_cell_length_b 7.142
_cell_length_c 10.318
_cell_angle_alpha 90.00
_cell_angle_beta 102.27
_cell_angle_gamma 90.00
loop_
_atom_site_label
_atom_site_type_symbol
_atom_site_fract_x
_atom_site_fract_y
_atom_site_fract_z
_atom_site_occupancy
Pm1 Pm 0.054 0.750 0.109 1
Ga1 Ga 0.689 0.944 0.377 1
Ag1 Ag 0.563 0.440 0.127 1
Ga2 Ga 0.689 0.556 0.377 1
Ag2 Ag 0.780 0.250 0.560 1
Ag3 Ag 0.563 0.060 0.127 1
Ag4 Ag 0.437 0.940 0.873 1
Pm2 Pm 0.163 0.250 0.325 1
Pm3 Pm 0.837 0.750 0.675 1
Pm4 Pm 0.946 0.250 0.891 1
Ag5 Ag 0.220 0.750 0.440 1
Ga3 Ga 0.311 0.444 0.623 1
Ga4 Ga 0.311 0.056 0.623 1
Ag6 Ag 0.437 0.560 0.873 1
```



(6)
# Ca2NiAs4Rh3

A relaxed structure of Ca2NiAs4Rh3 (PBE-GGA, the Alexandria database).

* symmetry: P-4m2, No. 115
* E_form: -0.706 eV/atom

```
data_Ca2NiAs4Rh3
_space_group_name_H-M_alt 'P 1'
_space_group_IT_number 1
_space_group_name_Hall 'P 1'
_cell_length_a 4.270
_cell_length_b 4.270
_cell_length_c 9.989
_cell_angle_alpha 90.00
_cell_angle_beta 90.00
_cell_angle_gamma 90.00
loop_
_atom_site_label
_atom_site_type_symbol
_atom_site_fract_x
_atom_site_fract_y
_atom_site_fract_z
_atom_site_occupancy
As1 As 0.000 0.000 0.000 1
As2 As 0.500 0.000 0.627 1
Rh1 Rh 0.000 0.000 0.500 1
As3 As 0.000 0.500 0.373 1
As4 As 0.500 0.500 0.000 1
Ca1 Ca 0.500 0.000 0.249 1
Rh2 Rh 0.500 0.000 0.873 1
Ni1 Ni 0.500 0.500 0.500 1
Ca2 Ca 0.000 0.500 0.751 1
Rh3 Rh 0.000 0.500 0.127 1
```



(7)
# BeSiOs2

A relaxed structure of BeSiOs2 (PBE-GGA, the Alexandria database).

* formation energy (no corrections): 0.04 eV/atom
* symmetry: Immm, No. 71

```
data_BeSiOs2
_space_group_name_H-M_alt 'P 1'
_space_group_IT_number 1
_space_group_name_Hall 'P 1'
_cell_length_a 4.648
_cell_length_b 4.648
_cell_length_c 4.648
_cell_angle_alpha 143.79
_cell_angle_beta 119.46
_cell_angle_gamma 72.62
loop_
_atom_site_label
_atom_site_type_symbol
_atom_site_fract_x
_atom_site_fract_y
_atom_site_fract_z
_atom_site_occupancy
Si1 Si 0.750 0.250 0.500 1
Os1 Os 0.485 0.485 0.000 1
Be1 Be 0.250 0.750 0.500 1
Os2 Os 0.015 0.015 0.000 1
```



(8)
# CdOs5

A relaxed structure of CdOs5 (PBE-GGA, the Alexandria database).

* symmetry: P6/mmm, No. 191
* E_form: 0.857 eV/atom

```
data_CdOs5
_space_group_name_H-M_alt 'P 1'
_space_group_IT_number 1
_space_group_name_Hall 'P 1'
_cell_length_a 5.077
_cell_length_b 5.077
_cell_length_c 4.579
_cell_angle_alpha 90.00
_cell_angle_beta 90.00
_cell_angle_gamma 120.00
loop_
_atom_site_label
_atom_site_type_symbol
_atom_site_fract_x
_atom_site_fract_y
_atom_site_fract_z
_atom_site_occupancy
Cd1 Cd 0.000 0.000 0.000 1
Os1 Os 0.333 0.667 0.000 1
Os2 Os 0.667 0.333 0.000 1
Os3 Os 0.500 0.000 0.500 1
Os4 Os 0.500 0.500 0.500 1
Os5 Os 0.000 0.500 0.500 1
```



(9)
# Mn2ZnNi3

A relaxed structure of Mn2ZnNi3 (PBE-GGA, the Alexandria database).

* symmetry: P4/mmm, No. 123
* E_form: -0.112 eV/atom

```
data_Mn2ZnNi3
_space_group_name_H-M_alt 'P 1'
_space_group_IT_number 1
_space_group_name_Hall 'P 1'
_cell_length_a 2.964
_cell_length_b 2.964
_cell_length_c 8.382
_cell_angle_alpha 90.00
_cell_angle_beta 90.00
_cell_angle_gamma 90.00
loop_
_atom_site_label
_atom_site_type_symbol
_atom_site_fract_x
_atom_site_fract_y
_atom_site_fract_z
_atom_site_occupancy
Zn1 Zn 0.500 0.500 0.500 1
Ni1 Ni 0.000 0.000 0.667 1
Ni2 Ni 0.000 0.000 0.333 1
Mn1 Mn 0.500 0.500 0.830 1
Ni3 Ni 0.000 0.000 0.000 1
Mn2 Mn 0.500 0.500 0.170 1
```



(10)
# Rb2BiCl3F3

A relaxed structure of Rb2BiCl3F3 (PBE-GGA, the Alexandria database).

* formation energy (no corrections): -1.76 eV/atom
* symmetry: P-62m, No. 189

```
data_Rb2BiCl3F3
_space_group_name_H-M_alt 'P 1'
_space_group_IT_number 1
_space_group_name_Hall 'P 1'
_cell_length_a 3.628
_cell_length_b 8.414
_cell_length_c 8.414
_cell_angle_alpha 120.00
_cell_angle_beta 90.00
_cell_angle_gamma 90.00
loop_
_atom_site_label
_atom_site_type_symbol
_atom_site_fract_x
_atom_site_fract_y
_atom_site_fract_z
_atom_site_occupancy
F1 F 0.500 0.814 0.000 1
Cl1 Cl 0.000 0.638 0.638 1
F2 F 0.500 0.186 0.186 1
F3 F 0.500 0.000 0.814 1
Cl2 Cl 0.000 0.000 0.362 1
Bi1 Bi 0.000 0.000 0.000 1
Rb1 Rb 0.500 0.667 0.333 1
Cl3 Cl 0.000 0.362 0.000 1
Rb2 Rb 0.500 0.333 0.667 1
```



(11)
# TeBr

A relaxed structure of TeBr (PBE-GGA, the Alexandria database).

* formation energy (no corrections): -0.07 eV/atom
* symmetry: Cm, No. 8

```
data_TeBr
_space_group_name_H-M_alt 'P 1'
_space_group_IT_number 1
_space_group_name_Hall 'P 1'
_cell_length_a 7.533
_cell_length_b 7.533
_cell_length_c 9.365
_cell_angle_alpha 63.95
_cell_angle_beta 63.95
_cell_angle_gamma 28.84
loop_
_atom_site_label
_atom_site_type_symbol
_atom_site_fract_x
_atom_site_fract_y
_atom_site_fract_z
_atom_site_occupancy
Br1 Br 0.504 0.504 0.656 1
Te1 Te 0.307 0.307 0.911 1
Te2 Te 0.224 0.224 0.705 1
Te3 Te 0.899 0.899 0.453 1
Br2 Br 0.794 0.794 0.299 1
Br3 Br 0.105 0.105 0.143 1
```



(12)
# PmBeRuN

A relaxed structure of PmBeRuN (PBE-GGA, the Alexandria database).

* formation energy (no corrections): -0.80 eV/atom
* symmetry: P4/nmm, No. 129

```
data_PmBeRuN
_space_group_name_H-M_alt 'P 1'
_space_group_IT_number 1
_space_group_name_Hall 'P 1'
_cell_length_a 3.656
_cell_length_b 3.656
_cell_length_c 8.522
_cell_angle_alpha 90.00
_cell_angle_beta 90.00
_cell_angle_gamma 90.00
loop_
_atom_site_label
_atom_site_type_symbol
_atom_site_fract_x
_atom_site_fract_y
_atom_site_fract_z
_atom_site_occupancy
N1 N 0.500 0.000 0.871 1
Ru1 Ru 0.500 0.500 0.500 1
Ru2 Ru 0.000 0.000 0.500 1
Be1 Be 0.500 0.000 0.683 1
N2 N 0.000 0.500 0.129 1
Pm1 Pm 0.000 0.500 0.846 1
Pm2 Pm 0.500 0.000 0.154 1
Be2 Be 0.000 0.500 0.317 1
```